LiRu after structural relaxation, computed with GGA-PBE.

Lattice parameters (Å, degrees): 8.9089 8.9089 2.5853 90.00 90.00 120.00
Element x y z (fractional)
Li  0.0669  0.2938  0.2500
Li  0.2269  0.9331  0.2500
Li  0.2938  0.2269  0.7500
Li  0.7062  0.7731  0.2500
Li  0.7731  0.0669  0.7500
Li  0.9331  0.7062  0.7500
Ru  0.1415  0.6068  0.2500
Ru  0.3932  0.5347  0.2500
Ru  0.4653  0.8585  0.2500
Ru  0.5347  0.1415  0.7500
Ru  0.6068  0.4653  0.7500
Ru  0.8585  0.3932  0.7500

Properties
Its space group is No. 176.

---

LiRu after structural relaxation, computed with GGA-PBE.

Lattice parameters (Å, degrees): 4.2967 4.2967 4.5560 90.00 90.00 120.00
Element x y z (fractional)
Li  0.3333  0.6667  0.2500
Li  0.6667  0.3333  0.7500
Ru  0.0000  0.0000  0.0000
Ru  0.0000  0.0000  0.5000

Properties
Its space group is No. 194.

---

Li5Ru3 after structural relaxation, computed with GGA-PBE.

Lattice parameters (Å, degrees): 7.8429 7.8429 4.4264 90.00 90.00 120.00
Element x y z (fractional)
Li  0.0000  0.2292  0.2500
Li  0.0000  0.7708  0.7500
Li  0.2292  0.0000  0.2500
Li  0.2292  0.2292  0.7500
Li  0.3333  0.6667  0.0000
Li  0.3333  0.6667  0.5000
Li  0.6667  0.3333  0.0000
Li  0.6667  0.3333  0.5000
Li  0.7708  0.0000  0.7500
Li  0.7708  0.7708  0.2500
Ru  0.0000  0.4369  0.7500
Ru  0.0000  0.5631  0.2500
Ru  0.4369  0.0000  0.7500
Ru  0.4369  0.4369  0.2500
Ru  0.5631  0.0000  0.2500
Ru  0.5631  0.5631  0.7500

Properties
Its space group is No. 193.

---

LiRu5 after structural relaxation, computed with GGA-PBE.

Lattice parameters (Å, degrees): 6.9529 6.9529 2.7884 90.00 90.00 143.77
Element x y z (fractional)
Li  0.0000  0.0000  0.0000
Ru  0.1438  0.8562  0.5000
Ru  0.3148  0.6852  0.0000
Ru  0.5000  0.5000  0.5000
Ru  0.6852  0.3148  0.0000
Ru  0.8562  0.1438  0.5000

Properties
Its energy above the most stable polymorph in this dataset is 122 meV per atom. Its space group is No. 65.

---

| no. | energy of formation from the pure elements (eV per atom) | size of the total moment (μB per cell) |
| --- | --- | --- |
| 1 | 0.305 | 0.0 |
| 2 | 0.977 | 1.5 |
| 3 | 0.380 | 0.0 |
| 4 | 0.255 | 0.0 |